Record 1
Entry from the Alexandria database: a geometry-optimized Sr3Al2Cl2O5 structure (PBE-GGA).

Properties
Mass density = 3.6 Mg/m³
Energy relative to the elements, uncorrected = -2.9123 eV/atom
DOS(E_F) = 0.000 states/eV/f.u.
E_tot = -6.330 eV/atom

Unit cell a=9.501 b=9.509 c=9.510 alpha=90.00 beta=90.00 gamma=90.00
Space group P2_12_12_1 (No. 19)
One atom of each set of equivalent atoms:
Sr 0.014 0.249 0.338 x4
Sr 0.162 0.488 0.736 x4
Sr 0.232 0.838 0.499 x4
Al 0.149 0.847 0.844 x4
Al 0.156 0.152 0.648 x4
Cl 0.037 0.565 0.435 x4
Cl 0.075 0.452 0.047 x4
O 0.013 0.267 0.605 x4
O 0.105 0.998 0.740 x4
O 0.229 0.750 0.255 x4
O 0.239 0.105 0.486 x4
O 0.246 0.732 0.737 x4

---

Record 2
Entry from the Alexandria database: a geometry-optimized AlTeClO4 structure (PBE-GGA).

Properties
Mass density = 3.7 Mg/m³
Energy relative to the elements, uncorrected = -1.3492 eV/atom
E_tot = -5.430 eV/atom

Unit cell a=8.877 b=6.586 c=8.701 alpha=90.00 beta=117.62 gamma=90.00
Space group C2/m (No. 12)
One atom of each set of equivalent atoms:
Al 0.049 0.000 0.222 x4
Te 0.195 0.500 0.327 x4
Cl 0.195 0.000 0.053 x4
O 0.052 0.287 0.217 x8
O 0.101 0.000 0.679 x4
O 0.246 0.500 0.559 x4

---

Record 3
Entry from the Alexandria database: a geometry-optimized AlOsCl2 structure (PBE-GGA).

Properties
Mass density = 5.9 Mg/m³
Energy relative to the elements, uncorrected = -0.0486 eV/atom
DOS(E_F) = 1.742 states/eV/f.u.
Excess energy over the best structure of this formula in the dataset = 263 meV per atom
E_tot = -4.715 eV/atom

Unit cell a=3.001 b=5.760 c=9.325 alpha=90.00 beta=90.00 gamma=90.00
Space group Cmm2 (No. 35)
One atom of each set of equivalent atoms:
Al 0.000 0.000 0.000 x2
Os 0.000 0.500 0.213 x2
Cl 0.000 0.000 0.412 x2
Cl 0.000 0.500 0.808 x2

---

Record 4
Entry from the Alexandria database: a geometry-optimized AlOsCl2 structure (PBE-GGA).

Properties
Mass density = 7.3 Mg/m³
Energy relative to the elements, uncorrected = 0.8507 eV/atom
DOS(E_F) = 2.971 states/eV/f.u.
Excess energy over the best structure of this formula in the dataset = 1162 meV per atom
E_tot = -3.816 eV/atom

Unit cell a=4.089 b=4.089 c=7.874 alpha=90.00 beta=90.00 gamma=90.00
Space group I-4m2 (No. 119)
One atom of each set of equivalent atoms:
Al 0.000 0.000 0.000 x2
Os 0.000 0.500 0.250 x2
Cl 0.000 0.000 0.500 x2
Cl 0.000 0.500 0.750 x2

---

Record 5
Entry from the Alexandria database: a geometry-optimized AlOs2Cl structure (PBE-GGA).

Properties
Mass density = 10.9 Mg/m³
Energy relative to the elements, uncorrected = 0.4618 eV/atom
DOS(E_F) = 3.374 states/eV/f.u.
Excess energy over the best structure of this formula in the dataset = 404 meV per atom
E_tot = -6.550 eV/atom

Unit cell a=2.917 b=3.675 c=6.280 alpha=90.00 beta=90.00 gamma=90.00
Space group Pmmm (No. 47)
One atom of each set of equivalent atoms:
Al 0.000 0.000 0.000 x1
Os 0.500 0.500 0.186 x2
Cl 0.500 0.000 0.500 x1

---

Record 6
Entry from the Alexandria database: a geometry-optimized Al4OsCl structure (PBE-GGA).

Properties
Mass density = 5.6 Mg/m³
Energy relative to the elements, uncorrected = 0.4345 eV/atom
DOS(E_F) = 3.655 states/eV/f.u.
E_tot = -4.240 eV/atom

Unit cell a=7.337 b=7.337 c=7.337 alpha=90.00 beta=90.00 gamma=90.00
Space group F-43m (No. 216)
One atom of each set of equivalent atoms:
Al 0.124 0.124 0.376 x16
Os 0.250 0.250 0.750 x4
Cl 0.000 0.000 0.000 x4

---

Record 7
Entry from the Alexandria database: a geometry-optimized AlOsCl2 structure (PBE-GGA).

Properties
Mass density = 6.0 Mg/m³
Energy relative to the elements, uncorrected = -0.3113 eV/atom
DOS(E_F) = 0.888 states/eV/f.u.
Excess energy over the best structure of this formula in the dataset = 0 meV per atom
E_tot = -4.978 eV/atom

Unit cell a=5.851 b=2.987 c=9.464 alpha=90.00 beta=106.06 gamma=90.00
Space group Cm (No. 8)
One atom of each set of equivalent atoms:
Al 0.000 0.000 0.000 x2
Os 0.114 0.500 0.804 x2
Cl 0.015 0.000 0.602 x2
Cl 0.023 0.500 0.191 x2

---

Record 8
Entry from the Alexandria database: a geometry-optimized AlOs2Cl structure (PBE-GGA).

Properties
Mass density = 12.2 Mg/m³
Energy relative to the elements, uncorrected = 0.5851 eV/atom
DOS(E_F) = 3.201 states/eV/f.u.
Excess energy over the best structure of this formula in the dataset = 527 meV per atom
E_tot = -6.427 eV/atom

Unit cell a=2.758 b=4.907 c=8.937 alpha=90.00 beta=90.00 gamma=90.00
Space group Immm (No. 71)
One atom of each set of equivalent atoms:
Al 0.000 0.000 0.000 x2
Os 0.000 0.500 0.248 x4
Cl 0.000 0.000 0.500 x2

---

Record 9
Entry from the Alexandria database: a geometry-optimized AlOs2Cl structure (PBE-GGA).

Properties
Mass density = 12.5 Mg/m³
Energy relative to the elements, uncorrected = 0.6413 eV/atom
DOS(E_F) = 2.926 states/eV/f.u.
Excess energy over the best structure of this formula in the dataset = 583 meV per atom
E_tot = -6.371 eV/atom

Unit cell a=2.986 b=2.986 c=6.621 alpha=90.00 beta=90.00 gamma=90.00
Space group P4/mmm (No. 123)
One atom of each set of equivalent atoms:
Al 0.000 0.000 0.000 x1
Os 0.500 0.500 0.221 x2
Cl 0.000 0.000 0.500 x1

---

Record 10
Entry from the Alexandria database: a geometry-optimized AlOsCl2 structure (PBE-GGA).

Properties
Mass density = 6.9 Mg/m³
Energy relative to the elements, uncorrected = 0.9197 eV/atom
DOS(E_F) = 2.950 states/eV/f.u.
Excess energy over the best structure of this formula in the dataset = 1231 meV per atom
E_tot = -3.747 eV/atom

Unit cell a=6.517 b=6.517 c=6.517 alpha=90.00 beta=90.00 gamma=90.00
Space group F-43m (No. 216)
One atom of each set of equivalent atoms:
Al 0.000 0.000 0.000 x4
Os 0.250 0.250 0.250 x4
Cl 0.000 0.000 0.500 x4
Cl 0.250 0.250 0.750 x4

---

Record 11
Entry from the Alexandria database: a geometry-optimized AlOsCl2 structure (PBE-GGA).

Properties
Mass density = 5.4 Mg/m³
Energy relative to the elements, uncorrected = 0.1351 eV/atom
DOS(E_F) = 1.483 states/eV/f.u.
Excess energy over the best structure of this formula in the dataset = 446 meV per atom
E_tot = -4.531 eV/atom

Unit cell a=3.081 b=3.838 c=7.556 alpha=90.00 beta=90.00 gamma=90.00
Space group Pmm2 (No. 25)
One atom of each set of equivalent atoms:
Al 0.000 0.000 0.000 x1
Os 0.500 0.500 0.933 x1
Cl 0.000 0.000 0.684 x1
Cl 0.500 0.500 0.244 x1

---

Record 12
Entry from the Alexandria database: a geometry-optimized AlOsCl2 structure (PBE-GGA).

Properties
Mass density = 7.3 Mg/m³
Energy relative to the elements, uncorrected = 0.5275 eV/atom
DOS(E_F) = 2.268 states/eV/f.u.
Excess energy over the best structure of this formula in the dataset = 839 meV per atom
E_tot = -4.139 eV/atom

Unit cell a=2.880 b=4.306 c=5.314 alpha=90.00 beta=90.00 gamma=90.00
Space group Pmmm (No. 47)
One atom of each set of equivalent atoms:
Al 0.000 0.000 0.000 x1
Os 0.500 0.000 0.500 x1
Cl 0.000 0.500 0.500 x1
Cl 0.500 0.500 0.000 x1

---

Record 13
Entry from the Alexandria database: a geometry-optimized AlOsCl2 structure (PBE-GGA).

Properties
Mass density = 5.2 Mg/m³
Energy relative to the elements, uncorrected = 0.0261 eV/atom
DOS(E_F) = 1.847 states/eV/f.u.
Excess energy over the best structure of this formula in the dataset = 337 meV per atom
E_tot = -4.640 eV/atom

Unit cell a=2.993 b=4.283 c=14.306 alpha=90.00 beta=90.00 gamma=90.00
Space group Immm (No. 71)
One atom of each set of equivalent atoms:
Al 0.000 0.000 0.000 x2
Os 0.000 0.000 0.500 x2
Cl 0.000 0.500 0.139 x4

---

Record 14
Entry from the Alexandria database: a geometry-optimized AlOsCl2 structure (PBE-GGA).

Properties
Mass density = 7.3 Mg/m³
Energy relative to the elements, uncorrected = 1.0179 eV/atom
DOS(E_F) = 2.794 states/eV/f.u.
Excess energy over the best structure of this formula in the dataset = 1329 meV per atom
E_tot = -3.649 eV/atom

Unit cell a=6.388 b=6.388 c=6.388 alpha=90.00 beta=90.00 gamma=90.00
Space group Fm-3m (No. 225)
One atom of each set of equivalent atoms:
Al 0.000 0.000 0.000 x4
Os 0.000 0.000 0.500 x4
Cl 0.250 0.250 0.250 x8

---

Record 15
Entry from the Alexandria database: a geometry-optimized AlOs2Cl structure (PBE-GGA).

Properties
Mass density = 10.6 Mg/m³
Energy relative to the elements, uncorrected = 0.4659 eV/atom
DOS(E_F) = 3.965 states/eV/f.u.
Excess energy over the best structure of this formula in the dataset = 408 meV per atom
E_tot = -6.546 eV/atom

Unit cell a=2.875 b=4.954 c=9.786 alpha=90.00 beta=90.00 gamma=90.00
Space group Cmm2 (No. 35)
One atom of each set of equivalent atoms:
Al 0.000 0.000 0.000 x2
Os 0.000 0.000 0.569 x2
Os 0.000 0.500 0.789 x2
Cl 0.000 0.500 0.185 x2

---

Record 16
Entry from the Alexandria database: a geometry-optimized AlOsCl2 structure (PBE-GGA).

Properties
Mass density = 7.1 Mg/m³
Energy relative to the elements, uncorrected = 0.5625 eV/atom
DOS(E_F) = 3.564 states/eV/f.u.
Excess energy over the best structure of this formula in the dataset = 874 meV per atom
E_tot = -4.104 eV/atom

Unit cell a=5.652 b=8.694 c=3.229 alpha=90.00 beta=122.46 gamma=90.00
Space group C2/m (No. 12)
One atom of each set of equivalent atoms:
Al 0.000 0.000 0.000 x2
Os 0.000 0.500 0.000 x2
Cl 0.250 0.250 0.000 x4

---

Record 17
Entry from the Alexandria database: a geometry-optimized AlOs2Cl structure (PBE-GGA).

Properties
Mass density = 12.1 Mg/m³
Energy relative to the elements, uncorrected = 0.6021 eV/atom
DOS(E_F) = 2.646 states/eV/f.u.
Excess energy over the best structure of this formula in the dataset = 544 meV per atom
E_tot = -6.410 eV/atom

Unit cell a=9.817 b=2.858 c=4.368 alpha=90.00 beta=95.72 gamma=90.00
Space group Cm (No. 8)
One atom of each set of equivalent atoms:
Al 0.000 0.000 0.000 x2
Os 0.244 0.500 0.625 x2
Os 0.467 0.000 0.508 x2
Cl 0.240 0.000 0.119 x2

---

Record 18
Entry from the Alexandria database: a geometry-optimized AlOs2Cl structure (PBE-GGA).

Properties
Mass density = 11.9 Mg/m³
Energy relative to the elements, uncorrected = 0.2645 eV/atom
DOS(E_F) = 0.882 states/eV/f.u.
Excess energy over the best structure of this formula in the dataset = 207 meV per atom
E_tot = -6.748 eV/atom

Unit cell a=2.861 b=2.861 c=7.581 alpha=90.00 beta=90.00 gamma=90.00
Space group P4mm (No. 99)
One atom of each set of equivalent atoms:
Al 0.000 0.000 0.000 x1
Os 0.000 0.000 0.549 x1
Os 0.500 0.500 0.770 x1
Cl 0.500 0.500 0.283 x1

---

Record 19
Entry from the Alexandria database: a geometry-optimized AlOs2Cl structure (PBE-GGA).

Properties
Mass density = 12.7 Mg/m³
Energy relative to the elements, uncorrected = 0.9112 eV/atom
DOS(E_F) = 4.558 states/eV/f.u.
Excess energy over the best structure of this formula in the dataset = 853 meV per atom
E_tot = -6.101 eV/atom

Unit cell a=6.134 b=6.134 c=6.134 alpha=90.00 beta=90.00 gamma=90.00
Space group Fm-3m (No. 225)
One atom of each set of equivalent atoms:
Al 0.000 0.000 0.000 x4
Os 0.250 0.250 0.250 x8
Cl 0.000 0.000 0.500 x4

---

Record 20
Entry from the Alexandria database: a geometry-optimized AlOsCl2 structure (PBE-GGA).

Properties
Mass density = 5.9 Mg/m³
Energy relative to the elements, uncorrected = 0.9252 eV/atom
DOS(E_F) = 1.628 states/eV/f.u.
Excess energy over the best structure of this formula in the dataset = 1237 meV per atom
E_tot = -3.741 eV/atom

Unit cell a=3.056 b=3.056 c=8.685 alpha=90.00 beta=90.00 gamma=90.00
Space group P4/mmm (No. 123)
One atom of each set of equivalent atoms:
Al 0.000 0.000 0.000 x1
Os 0.000 0.000 0.500 x1
Cl 0.500 0.500 0.300 x2